This record from Alexandria describes crystalline TaAlMoO6 at its relaxed geometry. The functional is PBE with a Hubbard U.

Lattice parameters (Å, degrees): 5.027 5.027 9.053 90.00 90.00 120.00
Atoms (fractional coordinates):
Ta1 0.667 0.333 0.250
Ta2 0.333 0.667 0.750
Al1 0.333 0.667 0.250
Al2 0.667 0.333 0.750
Mo1 0.000 0.000 0.000
Mo2 0.000 0.000 0.500
O1 0.654 0.665 0.134
O2 0.011 0.346 0.134
O3 0.346 0.011 0.634
O4 0.989 0.654 0.866
O5 0.335 0.346 0.366
O6 0.011 0.665 0.366
O7 0.665 0.011 0.866
O8 0.654 0.989 0.366
O9 0.989 0.335 0.634
O10 0.335 0.989 0.134
O11 0.665 0.654 0.634
O12 0.346 0.335 0.866

## Properties
For the spin magnetization, the calculation gives 4.00 μB per cell. The total energy is -74.45 eV/f.u.